First-principles (PBE) data for a relaxed Na3GePd crystal, as listed in Alexandria.

Summary:
VASP energy (eV/atom): -2.3523
Space group: Pm-3m, No. 221

Structure (extended XYZ):
```
5
Lattice="-4.123 2.461 -2.217 -3.217 -3.819 1.743 -0.790 2.707 4.474" Properties=species:S:1:pos:R:3 pbc="T T T"
Ge -4.065 0.674 2.000
Pd 0.000 0.000 0.000
Na -2.062 1.230 -1.109
Na -1.608 -1.910 0.871
Na -0.395 1.354 2.237
```



First-principles (PBE) data for a relaxed NaGe4Pd5 crystal, as listed in Alexandria.

Summary:
VASP energy (eV/atom): -4.8748
Space group: Pmmn, No. 59

Structure (extended XYZ):
```
20
Lattice="5.469 0.000 0.000 0.000 9.144 0.000 0.000 0.000 7.493" Properties=species:S:1:pos:R:3 pbc="T T T"
Ge 0.364 4.572 5.736
Ge 2.147 6.086 0.000
Ge 5.105 0.000 1.989
Ge 2.147 3.057 0.000
Ge 3.322 1.514 3.747
Ge 5.105 0.000 5.504
Ge 0.364 4.572 1.757
Ge 3.322 7.629 3.747
Pd 1.335 0.000 3.747
Pd 1.343 2.283 5.303
Pd 1.343 6.861 5.303
Pd 4.126 2.289 5.937
Pd 4.126 2.289 1.557
Pd 4.126 6.855 1.557
Pd 1.343 2.283 2.190
Pd 1.343 6.861 2.190
Pd 4.126 6.855 5.937
Pd 4.134 4.572 0.000
Na 2.436 0.000 0.000
Na 3.032 4.572 3.747
```



First-principles (PBE) data for a relaxed NaGe2Pd7 crystal, as listed in Alexandria.

Summary:
VASP energy (eV/atom): -4.7341
Space group: Cmmm, No. 65

Structure (extended XYZ):
```
10
Lattice="-0.611 -3.578 -2.680 5.814 1.728 -3.632 0.760 -4.296 5.563" Properties=species:S:1:pos:R:3 pbc="T T T"
Pd 1.920 -2.913 3.452
Pd 1.573 -1.524 -2.122
Pd 5.653 -3.117 -0.924
Pd 2.981 -3.073 -0.374
Pd 4.653 0.345 -1.521
Pd 4.390 -4.623 1.374
Pd 0.310 -3.029 0.175
Ge 3.991 -1.870 -2.210
Ge 1.972 -4.276 1.461
Na 0.000 0.000 0.000
```



First-principles (PBE) data for a relaxed Na2Ge3Pd2 crystal, as listed in Alexandria.

Summary:
VASP energy (eV/atom): -4.1703
Space group: C2/m, No. 12

Structure (extended XYZ):
```
7
Lattice="4.143 0.000 0.000 -2.072 5.255 -0.359 0.000 -3.160 6.618" Properties=species:S:1:pos:R:3 pbc="T T T"
Na 2.072 2.954 1.206
Na 0.000 -0.859 5.053
Pd 2.072 1.523 4.944
Pd 0.000 0.572 1.315
Ge 2.072 0.002 2.880
Ge 2.072 0.000 0.000
Ge 0.000 2.093 3.379
```



no.,size of the total moment (μB/f.u.)
1,0.00
2,0.00
3,0.00
4,0.00